Compound: HoVO3
Source: Alexandria
Functional: meta-GGA SCAN
Structure: single point on PBEsol structure

CIF file:
```
data_HoVO3
_cell_length_a 5.575
_cell_length_b 7.498
_cell_length_c 5.174
_cell_angle_alpha 90.00
_cell_angle_beta 90.00
_cell_angle_gamma 90.00
_symmetry_space_group_name_H-M 'P n m a'
_symmetry_Int_Tables_number 62
loop_
_symmetry_equiv_pos_as_xyz
'x,y,z'
'-x,-y,-z'
'-x+1/2,-y,z+1/2'
'x+1/2,y,-z+1/2'
'x+1/2,-y+1/2,-z+1/2'
'-x+1/2,y+1/2,z+1/2'
'-x,y+1/2,-z'
'x,-y+1/2,z'
loop_
_atom_site_label
_atom_site_fract_x
_atom_site_fract_y
_atom_site_fract_z
_atom_site_occupancy
Ho1 0.073 0.250 0.021 1
V1 0.000 0.000 0.500 1
O1 0.041 0.750 0.386 1
O2 0.196 0.557 0.810 1
```

Computed properties:
total moment	8.00	μB/cell
uncorrected formation energy	-3.35	eV per atom


Compound: NaScBr3
Source: Alexandria
Functional: meta-GGA SCAN
Structure: single point on PBEsol structure

CIF file:
```
data_NaScBr3
_cell_length_a 5.181
_cell_length_b 5.181
_cell_length_c 5.181
_cell_angle_alpha 90.00
_cell_angle_beta 90.00
_cell_angle_gamma 90.00
_symmetry_space_group_name_H-M 'P m -3 m'
_symmetry_Int_Tables_number 221
_symmetry_space_group_name_Hall '-P 4 2 3'
loop_
_atom_site_label
_atom_site_fract_x
_atom_site_fract_y
_atom_site_fract_z
_atom_site_occupancy
Na1 0.000 0.000 0.000 1
Sc1 0.500 0.500 0.500 1
Br1 0.000 0.000 0.500 1
```

Computed properties:
total moment	1.00	μB/cell
uncorrected formation energy	-0.89	eV per atom


Compound: ZrBeW2
Source: Alexandria
Functional: meta-GGA SCAN
Structure: single point on PBEsol structure

CIF file:
```
data_ZrBeW2
_cell_length_a 3.771
_cell_length_b 3.771
_cell_length_c 8.921
_cell_angle_alpha 90.00
_cell_angle_beta 90.00
_cell_angle_gamma 90.00
_symmetry_space_group_name_H-M 'I 4/m m m'
_symmetry_Int_Tables_number 139
_symmetry_space_group_name_Hall '-I 4 2'
loop_
_atom_site_label
_atom_site_fract_x
_atom_site_fract_y
_atom_site_fract_z
_atom_site_occupancy
Zr1 0.000 0.000 0.000 1
Be1 0.000 0.000 0.500 1
W1 0.000 0.500 0.250 1
```

Computed properties:
total moment	0.00	μB/cell
DFT formation energy	0.33	eV per atom


Compound: MnCu4Au
Source: Alexandria
Functional: meta-GGA SCAN
Structure: single point on PBEsol structure

CIF file:
```
data_MnCu4Au
_cell_length_a 6.742
_cell_length_b 6.742
_cell_length_c 6.742
_cell_angle_alpha 90.00
_cell_angle_beta 90.00
_cell_angle_gamma 90.00
_symmetry_space_group_name_H-M 'F -4 3 m'
_symmetry_Int_Tables_number 216
_symmetry_space_group_name_Hall 'F -4 2 3'
loop_
_atom_site_label
_atom_site_fract_x
_atom_site_fract_y
_atom_site_fract_z
_atom_site_occupancy
Mn1 0.000 0.000 0.000 1
Cu1 0.125 0.125 0.375 1
Au1 0.250 0.250 0.750 1
```

Computed properties:
total moment	17.15	μB/cell
DFT formation energy	-0.11	eV per atom


Compound: CaCoOs2
Source: Alexandria
Functional: meta-GGA SCAN
Structure: single point on PBEsol structure

CIF file:
```
data_CaCoOs2
_cell_length_a 2.679
_cell_length_b 4.431
_cell_length_c 10.069
_cell_angle_alpha 90.00
_cell_angle_beta 90.00
_cell_angle_gamma 90.00
_symmetry_space_group_name_H-M 'I m m m'
_symmetry_Int_Tables_number 71
_symmetry_space_group_name_Hall '-I 2 2'
loop_
_atom_site_label
_atom_site_fract_x
_atom_site_fract_y
_atom_site_fract_z
_atom_site_occupancy
Ca1 0.000 0.000 0.000 1
Co1 0.000 0.000 0.500 1
Os1 0.000 0.500 0.212 1
```

Computed properties:
total moment	0.00	μB/cell
DFT formation energy	0.39	eV per atom


Compound: MgZn2Au2
Source: Alexandria
Functional: meta-GGA SCAN
Structure: single point on PBEsol structure

CIF file:
```
data_MgZn2Au2
_cell_length_a 3.606
_cell_length_b 3.606
_cell_length_c 13.194
_cell_angle_alpha 90.00
_cell_angle_beta 90.00
_cell_angle_gamma 90.00
_symmetry_space_group_name_H-M 'I 4/m m m'
_symmetry_Int_Tables_number 139
_symmetry_space_group_name_Hall '-I 4 2'
loop_
_atom_site_label
_atom_site_fract_x
_atom_site_fract_y
_atom_site_fract_z
_atom_site_occupancy
Mg1 0.000 0.000 0.000 1
Zn1 0.000 0.500 0.250 1
Au1 0.000 0.000 0.397 1
```

Computed properties:
total moment	0.00	μB/cell
DFT formation energy	-0.42	eV per atom